[1]
Here is HfTa3Te at its PBEsol-relaxed geometry from Alexandria via LeMat-Bulk. Energies are from meta-GGA SCAN.

Output
Magnetization: 0.0 μB per formula unit
Energy: -290.7 eV/cell
D(E_F): 5.55 states/eV/f.u.

Lattice parameters (Å, degrees): 4.898 4.898 4.898 90.00 90.00 90.00
Fractional positions:
Hf  0.000  0.000  0.000
Ta  0.000  0.000  0.500
Ta  0.000  0.500  0.000
Ta  0.500  0.000  0.000
Te  0.500  0.500  0.500

[2]
Here is HfTaTe3 at its PBEsol-relaxed geometry from Alexandria via LeMat-Bulk. Energies are from meta-GGA SCAN.

Output
Magnetization: 3.0 μB per formula unit
Energy: -236.9 eV/cell
D(E_F): 3.05 states/eV/f.u.

Lattice parameters (Å, degrees): 5.386 5.386 5.386 90.00 90.00 90.00
Fractional positions:
Hf  0.000  0.000  0.000
Ta  0.500  0.500  0.500
Te  0.000  0.000  0.500
Te  0.000  0.500  0.000
Te  0.500  0.000  0.000

[3]
Here is HfTa2Ti at its PBEsol-relaxed geometry from Alexandria via LeMat-Bulk. Energies are from meta-GGA SCAN.

Output
Magnetization: 0.0 μB per formula unit
ΔH_f (0 K): 171 meV per atom
Energy: -211.2 eV/cell
D(E_F): 7.64 states/eV/f.u.

Lattice parameters (Å, degrees): 4.669 4.669 4.669 60.00 60.00 60.00
Fractional positions:
Hf  0.000  0.000  0.000
Ta  0.250  0.250  0.250
Ta  0.750  0.750  0.750
Ti  0.500  0.500  0.500

[4]
Here is HfTa2Tl at its PBEsol-relaxed geometry from Alexandria via LeMat-Bulk. Energies are from meta-GGA SCAN.

Output
Magnetization: 0.0 μB per formula unit
ΔH_f (0 K): 484 meV per atom
Energy: -266.3 eV/cell
D(E_F): 4.88 states/eV/f.u.

Lattice parameters (Å, degrees): 4.763 4.763 4.763 60.00 60.00 60.00
Fractional positions:
Hf  0.000  0.000  0.000
Ta  0.250  0.250  0.250
Ta  0.750  0.750  0.750
Tl  0.500  0.500  0.500

[5]
Here is HfZrTa3 at its PBEsol-relaxed geometry from Alexandria via LeMat-Bulk. Energies are from meta-GGA SCAN.

Output
Magnetization: 0.0 μB per formula unit
ΔH_f (0 K): 1718 meV per atom
Energy: -284.5 eV/cell
D(E_F): 3.63 states/eV/f.u.

Lattice parameters (Å, degrees): 4.805 4.805 4.805 90.00 90.00 90.00
Fractional positions:
Hf  0.000  0.000  0.000
Zr  0.500  0.500  0.500
Ta  0.000  0.500  0.500
Ta  0.500  0.000  0.500
Ta  0.500  0.500  0.000

[6]
Here is HfZrTa2 at its PBEsol-relaxed geometry from Alexandria via LeMat-Bulk. Energies are from meta-GGA SCAN.

Output
Magnetization: 0.0 μB per formula unit
ΔH_f (0 K): 218 meV per atom
Energy: -225.7 eV/cell
D(E_F): 7.58 states/eV/f.u.

Lattice parameters (Å, degrees): 4.784 4.784 4.784 60.00 60.00 60.00
Fractional positions:
Hf  0.000  0.000  0.000
Zr  0.500  0.500  0.500
Ta  0.250  0.250  0.250
Ta  0.750  0.750  0.750

[7]
Here is Hf2TcTe2 at its PBEsol-relaxed geometry from Alexandria via LeMat-Bulk. Energies are from meta-GGA SCAN.

Output
Magnetization: 4.1 μB per formula unit
Energy: -232.4 eV/cell
D(E_F): 3.78 states/eV/f.u.

Lattice parameters (Å, degrees): 8.140 8.140 8.140 151.90 151.90 40.16
Fractional positions:
Hf  0.250  0.750  0.500
Hf  0.750  0.250  0.500
Tc  0.000  0.000  0.000
Te  0.394  0.394  0.000
Te  0.606  0.606  0.000

[8]
Here is Hf3TcTe at its PBEsol-relaxed geometry from Alexandria via LeMat-Bulk. Energies are from meta-GGA SCAN.

Output
Magnetization: 0.0 μB per formula unit
Energy: -259.1 eV/cell
D(E_F): 6.03 states/eV/f.u.

Lattice parameters (Å, degrees): 4.936 4.936 4.936 90.00 90.00 90.00
Fractional positions:
Hf  0.000  0.000  0.500
Hf  0.000  0.500  0.000
Hf  0.500  0.000  0.000
Tc  0.000  0.000  0.000
Te  0.500  0.500  0.500

[9]
Here is HfTcTe3 at its PBEsol-relaxed geometry from Alexandria via LeMat-Bulk. Energies are from meta-GGA SCAN.

Output
Magnetization: 5.2 μB per formula unit
Energy: -206.3 eV/cell
D(E_F): 2.01 states/eV/f.u.

Lattice parameters (Å, degrees): 5.455 5.455 5.455 90.00 90.00 90.00
Fractional positions:
Hf  0.000  0.000  0.000
Tc  0.500  0.500  0.500
Te  0.000  0.000  0.500
Te  0.000  0.500  0.000
Te  0.500  0.000  0.000

[10]
Here is Hf2TiTc at its PBEsol-relaxed geometry from Alexandria via LeMat-Bulk. Energies are from meta-GGA SCAN.

Output
Magnetization: 2.6 μB per formula unit
ΔH_f (0 K): -268 meV per atom
Energy: -177.5 eV/cell
D(E_F): 4.04 states/eV/f.u.

Lattice parameters (Å, degrees): 4.647 4.647 4.647 60.00 60.00 60.00
Fractional positions:
Hf  0.250  0.250  0.250
Hf  0.750  0.750  0.750
Ti  0.000  0.000  0.000
Tc  0.500  0.500  0.500

[11]
Here is HfTiTc at its PBEsol-relaxed geometry from Alexandria via LeMat-Bulk. Energies are from meta-GGA SCAN.

Output
Magnetization: 0.0 μB per formula unit
ΔH_f (0 K): -414 meV per atom
Energy: -230.0 eV/cell
D(E_F): 2.76 states/eV/f.u.

Lattice parameters (Å, degrees): 5.219 5.219 5.219 121.37 117.05 91.41
Fractional positions:
Hf  0.372  0.122  0.250
Hf  0.628  0.878  0.750
Ti  0.000  0.500  0.500
Ti  0.500  0.500  0.000
Tc  0.000  0.000  0.500
Tc  0.000  0.500  0.000

[12]
Here is HfTc2W at its PBEsol-relaxed geometry from Alexandria via LeMat-Bulk. Energies are from meta-GGA SCAN.

Output
Magnetization: 0.0 μB per formula unit
ΔH_f (0 K): -435 meV per atom
Energy: -204.2 eV/cell
D(E_F): 0.90 states/eV/f.u.

Lattice parameters (Å, degrees): 4.455 4.455 4.455 60.00 60.00 60.00
Fractional positions:
Hf  0.000  0.000  0.000
Tc  0.250  0.250  0.250
Tc  0.750  0.750  0.750
W  0.500  0.500  0.500